Density functional theory data (PBE+U) for a geometry-optimized Li3Cr3GeO8 structure.

POSCAR file:
```
Li3Cr3GeO8
1.0
-2.638 2.470 -4.689
4.991 -3.105 -0.706
-5.077 -2.832 1.365
O Li Ge Cr
8 3 1 3
direct
0.229 0.985 0.714
0.740 0.480 0.721
0.244 0.015 0.286
0.771 0.542 0.286
0.260 0.520 0.279
0.229 0.458 0.714
0.771 0.015 0.286
0.756 0.985 0.714
0.500 0.500 0.000
0.000 0.500 0.000
0.000 0.000 0.000
0.000 0.000 0.500
0.000 0.500 0.500
0.500 0.000 0.500
0.500 0.500 0.500
```

D(E_F), states/eV/cell: 0.00
Space group: R-3m (166)
Total energy, eV/atom: -6.8220